[1]
Entry from Alexandria via LeMat-Bulk: a relaxed LiHfMg2 crystal (GGA-PBE).

## Properties
- Formation enthalpy at 0 K: 0.47 eV per atom
- Space-group type: I-42d (122)
- Polymorph energy (0 for the lowest one): 0.4140 eV per atom

a = 6.1123 Å, b = 6.1123 Å, c = 6.1123 Å
α = 103.52°, β = 103.52°, γ = 122.16°
Atoms (fractional coordinates):
Li  0.0000  0.0000  0.0000
Li  0.7500  0.2500  0.5000
Hf  0.2500  0.7500  0.5000
Hf  0.5000  0.5000  0.0000
Mg  0.0853  0.6250  0.9603
Mg  0.3750  0.3353  0.4603
Mg  0.6647  0.1250  0.0397
Mg  0.8750  0.9147  0.5397

=====

[2]
Entry from Alexandria via LeMat-Bulk: a relaxed Na2HgO2 crystal (GGA-PBE).

## Properties
- Space-group type: P4/mbm (127)
- ΔE_f (raw): -0.79 eV/atom

a = 6.4683 Å, b = 6.4683 Å, c = 3.3721 Å
α = 90.00°, β = 90.00°, γ = 90.00°
Atoms (fractional coordinates):
Na  0.1344  0.3656  0.0000
Na  0.3656  0.8656  0.0000
Na  0.6344  0.1344  0.0000
Na  0.8656  0.6344  0.0000
Hg  0.0000  0.0000  0.5000
Hg  0.5000  0.5000  0.5000
O  0.1789  0.6789  0.5000
O  0.3211  0.1789  0.5000
O  0.6789  0.8211  0.5000
O  0.8211  0.3211  0.5000

=====

[3]
Entry from Alexandria via LeMat-Bulk: a relaxed Ge5Te4Se crystal (GGA-PBE).

## Properties
- Space-group type: C2/m (12)
- ΔE_f (raw): -0.09 eV/atom
- Polymorph energy (0 for the lowest one): 0.0000 eV per atom

a = 7.2777 Å, b = 7.2777 Å, c = 10.2641 Å
α = 118.11°, β = 118.11°, γ = 33.61°
Atoms (fractional coordinates):
Ge  0.0000  0.0000  0.0000
Ge  0.1951  0.1951  0.7902
Ge  0.4055  0.4055  0.5945
Ge  0.5945  0.5945  0.4055
Ge  0.8049  0.8049  0.2098
Te  0.1962  0.1962  0.3038
Te  0.3959  0.3959  0.0958
Te  0.6041  0.6041  0.9042
Te  0.8038  0.8038  0.6962
Se  0.0000  0.0000  0.5000

=====

[4]
Entry from Alexandria via LeMat-Bulk: a relaxed ThC3N6 crystal (GGA-PBE).

## Properties
- Space-group type: R3m (160)
- ΔE_f (raw): -0.12 eV/atom

a = 6.6697 Å, b = 6.6697 Å, c = 6.6697 Å
α = 116.27°, β = 116.27°, γ = 116.27°
Atoms (fractional coordinates):
Th  0.0000  0.0000  0.0000
C  0.2592  0.7060  0.7060
C  0.7060  0.2592  0.7060
C  0.7060  0.7060  0.2592
N  0.2024  0.8305  0.8305
N  0.3263  0.5861  0.5861
N  0.5861  0.3263  0.5861
N  0.5861  0.5861  0.3263
N  0.8305  0.2024  0.8305
N  0.8305  0.8305  0.2024

=====

[5]
Entry from Alexandria via LeMat-Bulk: a relaxed ZrSb2Se crystal (GGA-PBE).

## Properties
- Space-group type: I-4m2 (119)
- ΔE_f (raw): -0.11 eV/atom

a = 5.9023 Å, b = 5.9023 Å, c = 5.9023 Å
α = 136.94°, β = 136.94°, γ = 62.54°
Atoms (fractional coordinates):
Zr  0.0000  0.0000  0.0000
Sb  0.2500  0.7500  0.5000
Sb  0.5000  0.5000  0.0000
Se  0.7500  0.2500  0.5000

=====

[6]
Entry from Alexandria via LeMat-Bulk: a relaxed TlSnH3 crystal (GGA-PBE).

## Properties
- Space-group type: Pm-3m (221)
- Polymorph energy (0 for the lowest one): 0.0000 eV per atom

a = 4.2547 Å, b = 4.2547 Å, c = 4.2547 Å
α = 90.00°, β = 90.00°, γ = 90.00°
Atoms (fractional coordinates):
Tl  0.0000  0.0000  0.0000
Sn  0.5000  0.5000  0.5000
H  0.0000  0.5000  0.5000
H  0.5000  0.0000  0.5000
H  0.5000  0.5000  0.0000